1.
First-principles (PBE) data for a geometry-optimized Cr2ReGe2 structure, as listed in Alexandria.

Lattice parameters (Å, degrees): 3.3768 3.3768 12.7596 90.00 90.00 90.00
Atoms (fractional coordinates):
Cr1 0.0000 0.0000 0.0997
Cr2 0.0000 0.0000 0.9003
Cr3 0.5000 0.5000 0.4003
Cr4 0.5000 0.5000 0.5997
Re1 0.0000 0.0000 0.5000
Re2 0.5000 0.5000 0.0000
Ge1 0.0000 0.5000 0.2500
Ge2 0.0000 0.5000 0.7500
Ge3 0.5000 0.0000 0.2500
Ge4 0.5000 0.0000 0.7500

- Theoretical density: 9.9 Mg/m³
- Volume: 14.549 Å³ per atom
- DOS(E_F): 11.9 states/eV per cell
- E_form: 0.632 eV/atom
- Crystal system: tetragonal
- ΔE to the lowest computed polymorph: 2.08 eV/f.u.

=====

2.
First-principles (PBE) data for a geometry-optimized CrRe2Ge structure, as listed in Alexandria.

Lattice parameters (Å, degrees): 2.7910 2.7910 26.7856 90.00 90.00 120.00
Atoms (fractional coordinates):
Cr1 0.0000 0.0000 0.0000
Cr2 0.3333 0.6667 0.6667
Cr3 0.6667 0.3333 0.3333
Re1 0.0000 0.0000 0.0861
Re2 0.0000 0.0000 0.9139
Re3 0.3333 0.6667 0.5806
Re4 0.3333 0.6667 0.7527
Re5 0.6667 0.3333 0.2473
Re6 0.6667 0.3333 0.4194
Ge1 0.0000 0.0000 0.5000
Ge2 0.3333 0.6667 0.1667
Ge3 0.6667 0.3333 0.8333

- Theoretical density: 13.7 Mg/m³
- Volume: 15.058 Å³ per atom
- DOS(E_F): 12.1 states/eV per cell
- E_form: 0.766 eV/atom
- Crystal system: trigonal

=====

3.
First-principles (PBE) data for a geometry-optimized Cr2ReGe2 structure, as listed in Alexandria.

Lattice parameters (Å, degrees): 6.8555 6.8555 2.9546 90.00 90.00 90.00
Atoms (fractional coordinates):
Cr1 0.1568 0.3432 0.0000
Cr2 0.3432 0.8432 0.0000
Cr3 0.6568 0.1568 0.0000
Cr4 0.8432 0.6568 0.0000
Re1 0.0000 0.0000 0.5000
Re2 0.5000 0.5000 0.5000
Ge1 0.1422 0.6422 0.5000
Ge2 0.3578 0.1422 0.5000
Ge3 0.6422 0.8578 0.5000
Ge4 0.8578 0.3578 0.5000

- Theoretical density: 10.4 Mg/m³
- Volume: 13.886 Å³ per atom
- DOS(E_F): 12.0 states/eV per cell
- E_form: 0.216 eV/atom
- Crystal system: tetragonal
- ΔE to the lowest computed polymorph: 0.00 eV/f.u.

=====

4.
First-principles (PBE) data for a geometry-optimized CrReGe3 structure, as listed in Alexandria.

Lattice parameters (Å, degrees): 4.8449 4.8449 4.8449 90.00 90.00 90.00
Atoms (fractional coordinates):
Cr1 0.0000 0.0000 0.0000
Re1 0.5000 0.5000 0.5000
Ge1 0.0000 0.5000 0.5000
Ge2 0.5000 0.0000 0.5000
Ge3 0.5000 0.5000 0.0000

- Theoretical density: 6.7 Mg/m³
- Volume: 22.745 Å³ per atom
- DOS(E_F): 2.5 states/eV per cell
- E_form: 0.717 eV/atom
- Crystal system: cubic
- ΔE to the lowest computed polymorph: 0.00 eV/f.u.